No. 1
An optimized crystal structure of AcPmInPd, computed with PBE.

Computed properties:
space-group type	F-43m, No. 216
formation enthalpy at 0 K	-1.9	eV/f.u.
mass density	8.5	g/cm3

Cell: 5.4636 5.4636 5.4636 Å, 60.00 60.00 60.00°
Element x y z (fractional)
1 Ac 0.7500 0.7500 0.7500
2 In 0.5000 0.5000 0.5000
3 Pm 0.2500 0.2500 0.2500
4 Pd 0.0000 0.0000 0.0000

No. 2
An optimized crystal structure of Ac2PmIn3Pd6, computed with PBE.

Computed properties:
space-group type	P4/mmm, No. 123
formation enthalpy at 0 K	-7.7	eV/f.u.
mass density	9.1	g/cm3

Cell: 4.4274 4.4274 14.6719 Å, 90.00 90.00 90.00°
Element x y z (fractional)
1 Ac 0.5000 0.5000 0.1549
2 Pd 0.5000 0.0000 0.6946
3 In 0.0000 0.0000 0.0000
4 In 0.0000 0.0000 0.5946
5 Pd 0.0000 0.5000 0.3054
6 Pd 0.5000 0.0000 0.3054
7 In 0.0000 0.0000 0.4054
8 Pd 0.0000 0.0000 0.1816
9 Pm 0.5000 0.5000 0.5000
10 Pd 0.0000 0.5000 0.6946
11 Pd 0.0000 0.0000 0.8184
12 Ac 0.5000 0.5000 0.8451

Question: What is the formula in the first record?
Answer: AcPmInPd